Below is a relaxed ZrAlZnFe crystal, with properties calculated at the PBE level.

Results
Final energy ... -22.8 eV for the cell shown
Spin magnetization ... 1.15 Bohr magnetons per cell

a = 4.429 Å, b = 4.429 Å, c = 4.429 Å
α = 60.00°, β = 60.00°, γ = 60.00°
Sites, in units of the cell vectors:
Zr (0.500, 0.500, 0.500)
Zn (0.250, 0.250, 0.250)
Fe (0.750, 0.750, 0.750)
Al (0.000, 0.000, 0.000)